Arrangement i

Material: PmB2H8
Method: DFT, PBE
State: optimized geometry

Cell lengths 5.425, 5.425, 4.123 Å; angles 106.34, 106.34, 60.80 degrees
Sites, in units of the cell vectors:
Pm1 0.000 0.000 0.000
B1 0.220 0.220 0.683
B2 0.780 0.780 0.317
H1 0.031 0.661 0.271
H2 0.229 0.229 0.392
H3 0.339 0.969 0.729
H4 0.355 0.355 0.867
H5 0.645 0.645 0.133
H6 0.661 0.031 0.271
H7 0.771 0.771 0.608
H8 0.969 0.339 0.729

---

Arrangement ii

Material: PmB2H8
Method: DFT, PBE
State: optimized geometry

Cell lengths 5.746, 5.746, 3.909 Å; angles 105.98, 105.98, 69.23 degrees
Sites, in units of the cell vectors:
Pm1 0.000 0.000 0.000
B1 0.215 0.215 0.665
B2 0.785 0.785 0.335
H1 0.021 0.707 0.347
H2 0.247 0.247 0.385
H3 0.293 0.979 0.653
H4 0.331 0.331 0.920
H5 0.669 0.669 0.080
H6 0.707 0.021 0.347
H7 0.753 0.753 0.615
H8 0.979 0.293 0.653

---

On energetic grounds, arrangement ii is preferred over the next structure by 7 meV/atom.

---

Arrangement i

Material: PrB2H8
Method: DFT, PBE
State: optimized geometry

Cell lengths 4.236, 4.236, 6.483 Å; angles 109.53, 109.53, 60.31 degrees
Sites, in units of the cell vectors:
Pr1 0.000 0.000 0.000
B1 0.237 0.237 0.714
B2 0.763 0.763 0.286
H1 0.060 0.582 0.219
H2 0.171 0.171 0.511
H3 0.418 0.940 0.781
H4 0.421 0.421 0.786
H5 0.579 0.579 0.214
H6 0.582 0.060 0.219
H7 0.829 0.829 0.489
H8 0.940 0.418 0.781

---

Arrangement ii

Material: PrB2H8
Method: DFT, PBE
State: optimized geometry

Cell lengths 5.014, 5.014, 5.597 Å; angles 113.19, 113.19, 47.98 degrees
Sites, in units of the cell vectors:
Pr1 0.000 0.000 0.000
B1 0.193 0.193 0.702
B2 0.807 0.807 0.298
H1 0.109 0.608 0.239
H2 0.159 0.159 0.467
H3 0.346 0.346 0.819
H4 0.392 0.891 0.761
H5 0.608 0.109 0.239
H6 0.654 0.654 0.181
H7 0.841 0.841 0.533
H8 0.891 0.392 0.761

---

On energetic grounds, arrangement i is preferred over the next structure by 27 meV/atom.

---

Arrangement i

Material: BHPt3
Method: DFT, PBE
State: optimized geometry

Cell lengths 4.131, 4.131, 4.131 Å; angles 90.00, 90.00, 90.00 degrees
Sites, in units of the cell vectors:
B1 0.000 0.000 0.000
H1 0.500 0.500 0.500
Pt1 0.000 0.000 0.500
Pt2 0.000 0.500 0.000
Pt3 0.500 0.000 0.000

---

Arrangement ii

Material: BHPt3
Method: DFT, PBE
State: optimized geometry

Cell lengths 5.630, 6.093, 8.338 Å; angles 97.44, 90.15, 90.81 degrees
Sites, in units of the cell vectors:
B1 0.001 0.336 0.327
B2 0.496 0.171 0.164
B3 0.504 0.829 0.836
B4 0.999 0.664 0.673
H1 0.233 0.263 0.741
H2 0.293 0.844 0.444
H3 0.707 0.156 0.556
H4 0.767 0.737 0.259
Pt1 0.001 0.683 0.410
Pt2 0.251 0.072 0.333
Pt3 0.251 0.436 0.158
Pt4 0.251 0.561 0.843
Pt5 0.252 0.931 0.663
Pt6 0.500 0.186 0.913
Pt7 0.500 0.814 0.087
Pt8 0.748 0.069 0.337
Pt9 0.749 0.439 0.157
Pt10 0.749 0.564 0.842
Pt11 0.749 0.928 0.667
Pt12 0.999 0.317 0.590

---

On energetic grounds, arrangement ii is preferred over the next structure by 572 meV/atom.

---

Arrangement i

Material: B3HPt
Method: DFT, PBE
State: optimized geometry

Cell lengths 4.096, 4.096, 4.096 Å; angles 90.00, 90.00, 90.00 degrees
Sites, in units of the cell vectors:
B1 0.000 0.000 0.500
B2 0.000 0.500 0.000
B3 0.500 0.000 0.000
H1 0.500 0.500 0.500
Pt1 0.000 0.000 0.000

---

Arrangement ii

Material: B3HPt
Method: DFT, PBE
State: optimized geometry

Cell lengths 3.398, 3.398, 3.398 Å; angles 90.00, 90.00, 90.00 degrees
Sites, in units of the cell vectors:
B1 0.000 0.000 0.500
B2 0.000 0.500 0.000
B3 0.500 0.000 0.000
H1 0.000 0.000 0.000
Pt1 0.500 0.500 0.500

---

On energetic grounds, arrangement i is preferred over the next structure by 123 meV/atom.

---

Arrangement i

Material: BHPt
Method: DFT, PBE
State: optimized geometry

Cell lengths 3.196, 3.196, 5.404 Å; angles 90.00, 90.00, 90.00 degrees
Sites, in units of the cell vectors:
B1 0.000 0.000 0.000
B2 0.500 0.500 0.500
H1 0.000 0.000 0.753
H2 0.500 0.500 0.253
Pt1 0.000 0.000 0.407
Pt2 0.500 0.500 0.907

---

Arrangement ii

Material: BHPt
Method: DFT, PBE
State: optimized geometry

Cell lengths 8.320, 8.320, 2.740 Å; angles 90.00, 90.00, 90.00 degrees
Sites, in units of the cell vectors:
B1 0.000 0.397 0.000
B2 0.000 0.603 0.000
B3 0.397 0.000 0.500
B4 0.603 0.000 0.500
H1 0.121 0.500 0.000
H2 0.500 0.121 0.500
H3 0.500 0.879 0.500
H4 0.879 0.500 0.000
Pt1 0.000 0.212 0.500
Pt2 0.000 0.788 0.500
Pt3 0.212 0.000 0.000
Pt4 0.788 0.000 0.000

---

On energetic grounds, arrangement ii is preferred over the next structure by 424 meV/atom.

---

Arrangement i

Material: B2HPt
Method: DFT, PBE
State: optimized geometry

Cell lengths 3.523, 3.523, 10.843 Å; angles 90.00, 90.00, 90.00 degrees
Sites, in units of the cell vectors:
B1 0.061 0.750 0.125
B2 0.250 0.061 0.875
B3 0.250 0.439 0.375
B4 0.439 0.750 0.625
B5 0.561 0.250 0.625
B6 0.750 0.561 0.375
B7 0.750 0.939 0.875
B8 0.939 0.250 0.125
H1 0.000 0.000 0.000
H2 0.000 0.500 0.250
H3 0.500 0.000 0.750
H4 0.500 0.500 0.500
Pt1 0.000 0.000 0.500
Pt2 0.000 0.500 0.750
Pt3 0.500 0.000 0.250
Pt4 0.500 0.500 0.000

---

Arrangement ii

Material: B2HPt
Method: DFT, PBE
State: optimized geometry

Cell lengths 5.183, 5.183, 5.183 Å; angles 90.00, 90.00, 90.00 degrees
Sites, in units of the cell vectors:
B1 0.250 0.250 0.250
B2 0.250 0.250 0.750
B3 0.250 0.750 0.250
B4 0.250 0.750 0.750
B5 0.750 0.250 0.250
B6 0.750 0.250 0.750
B7 0.750 0.750 0.250
B8 0.750 0.750 0.750
H1 0.000 0.000 0.000
H2 0.000 0.500 0.500
H3 0.500 0.000 0.500
H4 0.500 0.500 0.000
Pt1 0.000 0.000 0.500
Pt2 0.000 0.500 0.000
Pt3 0.500 0.000 0.000
Pt4 0.500 0.500 0.500

---

On energetic grounds, arrangement i is preferred over the next structure by 506 meV/atom.

---

Arrangement i

Material: BH2Pt2
Method: DFT, PBE
State: optimized geometry

Cell lengths 5.602, 5.602, 3.510 Å; angles 90.00, 90.00, 90.00 degrees
Sites, in units of the cell vectors:
B1 0.000 0.000 0.000
B2 0.500 0.500 0.000
H1 0.162 0.338 0.500
H2 0.338 0.838 0.500
H3 0.662 0.162 0.500
H4 0.838 0.662 0.500
Pt1 0.169 0.331 0.000
Pt2 0.331 0.831 0.000
Pt3 0.669 0.169 0.000
Pt4 0.831 0.669 0.000

---

Arrangement ii

Material: BH2Pt2
Method: DFT, PBE
State: optimized geometry

Cell lengths 2.825, 2.825, 11.304 Å; angles 90.00, 90.00, 90.00 degrees
Sites, in units of the cell vectors:
B1 0.000 0.000 0.000
B2 0.500 0.500 0.500
H1 0.000 0.500 0.250
H2 0.000 0.500 0.750
H3 0.500 0.000 0.250
H4 0.500 0.000 0.750
Pt1 0.000 0.000 0.379
Pt2 0.000 0.000 0.621
Pt3 0.500 0.500 0.121
Pt4 0.500 0.500 0.879

---

On energetic grounds, arrangement i is preferred over the next structure by 435 meV/atom.

---

Arrangement i

Material: RbB3H
Method: DFT, PBE
State: optimized geometry

Cell lengths 6.317, 6.317, 6.317 Å; angles 90.00, 90.00, 90.00 degrees
Sites, in units of the cell vectors:
Rb1 0.000 0.000 0.000
B1 0.000 0.000 0.500
B2 0.000 0.500 0.000
B3 0.500 0.000 0.000
H1 0.500 0.500 0.500

---

Arrangement ii

Material: RbB3H
Method: DFT, PBE
State: optimized geometry

Cell lengths 4.137, 4.137, 4.137 Å; angles 90.00, 90.00, 90.00 degrees
Sites, in units of the cell vectors:
Rb1 0.000 0.000 0.000
B1 0.000 0.500 0.500
B2 0.500 0.000 0.500
B3 0.500 0.500 0.000
H1 0.500 0.500 0.500

---

On energetic grounds, arrangement ii is preferred over the next structure by 1178 meV/atom.

---

Arrangement i

Material: RbB2H6
Method: DFT, PBE
State: optimized geometry

Cell lengths 6.919, 6.919, 6.919 Å; angles 141.46, 100.22, 92.31 degrees
Sites, in units of the cell vectors:
Rb1 0.250 0.250 0.000
Rb2 0.750 0.750 0.000
B1 0.219 0.502 0.721
B2 0.281 0.002 0.283
B3 0.719 0.998 0.717
B4 0.781 0.498 0.279
H1 0.043 0.393 0.654
H2 0.145 0.002 0.147
H3 0.239 0.893 0.350
H4 0.261 0.611 0.654
H5 0.355 0.502 0.857
H6 0.457 0.111 0.350
H7 0.543 0.889 0.650
H8 0.645 0.498 0.143
H9 0.739 0.389 0.346
H10 0.761 0.107 0.650
H11 0.855 0.998 0.853
H12 0.957 0.607 0.346

---

Arrangement ii

Material: RbB2H6
Method: DFT, PBE
State: optimized geometry

Cell lengths 6.397, 6.397, 6.105 Å; angles 106.44, 106.44, 76.51 degrees
Sites, in units of the cell vectors:
Rb1 0.240 0.760 0.750
Rb2 0.760 0.240 0.250
B1 0.084 0.377 0.897
B2 0.377 0.084 0.397
B3 0.623 0.916 0.603
B4 0.916 0.623 0.103
H1 0.012 0.570 0.286
H2 0.041 0.212 0.924
H3 0.212 0.041 0.424
H4 0.274 0.408 0.977
H5 0.408 0.274 0.477
H6 0.430 0.988 0.214
H7 0.570 0.012 0.786
H8 0.592 0.726 0.523
H9 0.726 0.592 0.023
H10 0.788 0.959 0.576
H11 0.959 0.788 0.076
H12 0.988 0.430 0.714

---

Arrangement iii

Material: RbB2H6
Method: DFT, PBE
State: optimized geometry

Cell lengths 4.977, 4.977, 4.977 Å; angles 60.00, 60.00, 60.00 degrees
Sites, in units of the cell vectors:
Rb1 0.000 0.000 0.000
B1 0.250 0.250 0.250
B2 0.750 0.750 0.750
H1 0.367 0.367 0.633
H2 0.367 0.633 0.367
H3 0.367 0.633 0.633
H4 0.633 0.367 0.367
H5 0.633 0.367 0.633
H6 0.633 0.633 0.367

---

On energetic grounds, arrangement i is preferred over the next structure by 13 meV/atom.

---

Arrangement i

Material: RbB2H
Method: DFT, PBE
State: optimized geometry

Cell lengths 5.296, 5.296, 5.296 Å; angles 60.00, 60.00, 60.00 degrees
Sites, in units of the cell vectors:
Rb1 0.125 0.125 0.125
Rb2 0.875 0.875 0.875
B1 0.000 0.500 0.500
B2 0.500 0.000 0.500
B3 0.500 0.500 0.000
B4 0.500 0.500 0.500
H1 0.375 0.375 0.375
H2 0.625 0.625 0.625

---

Arrangement ii

Material: RbB2H
Method: DFT, PBE
State: optimized geometry

Cell lengths 6.704, 6.704, 6.704 Å; angles 90.00, 90.00, 90.00 degrees
Sites, in units of the cell vectors:
Rb1 0.000 0.000 0.000
Rb2 0.000 0.500 0.500
Rb3 0.500 0.000 0.500
Rb4 0.500 0.500 0.000
B1 0.250 0.250 0.250
B2 0.250 0.250 0.750
B3 0.250 0.750 0.250
B4 0.250 0.750 0.750
B5 0.750 0.250 0.250
B6 0.750 0.250 0.750
B7 0.750 0.750 0.250
B8 0.750 0.750 0.750
H1 0.000 0.000 0.500
H2 0.000 0.500 0.000
H3 0.500 0.000 0.000
H4 0.500 0.500 0.500

---

On energetic grounds, arrangement i is preferred over the next structure by 936 meV/atom.

---

Arrangement i

Material: Rb2BH4
Method: DFT, PBE
State: optimized geometry

Cell lengths 8.299, 8.299, 8.299 Å; angles 122.64, 122.64, 85.49 degrees
Sites, in units of the cell vectors:
Rb1 0.118 0.125 0.493
Rb2 0.375 0.882 0.007
Rb3 0.632 0.625 0.507
Rb4 0.875 0.368 0.993
B1 0.000 0.000 0.000
B2 0.750 0.250 0.500
H1 0.030 0.853 0.001
H2 0.147 0.148 0.178
H3 0.603 0.280 0.501
H4 0.720 0.221 0.322
H5 0.779 0.102 0.499
H6 0.852 0.029 0.999
H7 0.898 0.397 0.678
H8 0.971 0.970 0.822

---

Arrangement ii

Material: Rb2BH4
Method: DFT, PBE
State: optimized geometry

Cell lengths 6.162, 6.151, 6.174 Å; angles 59.99, 59.82, 60.19 degrees
Sites, in units of the cell vectors:
Rb1 0.000 0.000 0.500
Rb2 0.500 0.500 0.000
B1 0.253 0.253 0.747
H1 0.056 0.288 0.712
H2 0.218 0.450 0.782
H3 0.288 0.056 0.944
H4 0.450 0.218 0.550

---

On energetic grounds, arrangement i is preferred over the next structure by 73 meV/atom.